(1)
An optimized crystal structure of Tb8Tl3Ga2. Source: the Alexandria database, functional PBE.

For the formation energy, the calculation gives -0.205 eV per atom. The symmetry is Cmmm. The value obtained for the magnetic moment is 0.03 Bohr magnetons per cell.

Cell: 5.394 9.013 8.982 Å, 120.11 90.00 90.00°
Element x y z (fractional)
Tb 0.000 0.685 0.371
Tb 0.000 0.315 0.629
Tb 0.000 0.111 0.222
Tb 0.000 0.889 0.778
Tb 0.500 0.591 0.745
Tb 0.500 0.155 0.745
Tb 0.500 0.845 0.255
Tb 0.500 0.409 0.255
Tl 0.500 0.000 0.000
Tl 0.000 0.319 0.000
Tl 0.000 0.681 0.000
Ga 0.500 0.228 0.456
Ga 0.500 0.772 0.544

***

(2)
An optimized crystal structure of MgTeNF2. Source: the Alexandria database, functional PBE.

The calculation puts the offset from the most stable computed form at 765.4 meV/atom. The symmetry is P4/mmm. For the uncorrected formation energy, the calculation gives -0.419 eV per atom. The value obtained for the magnetic moment is 0.46 Bohr magnetons per cell.

Cell: 4.640 4.640 4.123 Å, 90.00 90.00 90.00°
Last column: magnetic moment on the atom in μB.
Element x y z (fractional)
N 0.000 0.000 0.500  0.03
Mg 0.500 0.500 0.500  0.10
Te 0.000 0.000 0.000  0.00
F 0.000 0.500 0.000  0.02
F 0.500 0.000 0.000  0.02

***

(3)
An optimized crystal structure of Ba2CaGaNi. Source: the Alexandria database, functional PBE.

For the formation energy, the calculation gives -0.044 eV per atom. The symmetry is P4/mmm. The value obtained for the magnetic moment is 0.00 Bohr magnetons per cell.

Cell: 6.137 6.137 4.775 Å, 90.00 90.00 90.00°
Element x y z (fractional)
Ni 0.000 0.000 0.000
Ca 0.500 0.500 0.500
Ba 0.000 0.500 0.000
Ba 0.500 0.000 0.000
Ga 0.000 0.000 0.500

***

(4)
An optimized crystal structure of TmTh2Sc. Source: the Alexandria database, functional PBE.

The calculation puts the offset from the most stable computed form at 61.1 meV/atom. For the formation energy, the calculation gives 0.092 eV per atom. The symmetry is Fm-3m. The value obtained for the magnetic moment is 0.00 Bohr magnetons per cell.

Cell: 5.518 5.518 5.518 Å, 60.00 60.00 60.00°
Element x y z (fractional)
Sc 0.500 0.500 0.500
Tm 0.000 0.000 0.000
Th 0.250 0.250 0.250
Th 0.750 0.750 0.750

***

(5)
An optimized crystal structure of Hf2Tl2Zn. Source: the Alexandria database, functional PBE.

The calculation puts the offset from the most stable computed form at 396.4 meV/atom. For the formation energy, the calculation gives 0.628 eV per atom. The symmetry is I4/mmm. The value obtained for the magnetic moment is 0.00 Bohr magnetons per cell.

Cell: 4.107 4.107 7.889 Å, 74.91 74.91 90.00°
Element x y z (fractional)
Tl 0.750 0.250 0.500
Tl 0.250 0.750 0.500
Hf 0.407 0.407 0.185
Hf 0.593 0.593 0.815
Zn 0.000 0.000 0.000

***

(6)
An optimized crystal structure of AgSb2TeMo. Source: the Alexandria database, functional PBE.

The calculation puts the offset from the most stable computed form at 0.0 meV/atom. The symmetry is P4/mmm. For the uncorrected formation energy, the calculation gives 0.596 eV per atom. The value obtained for the magnetic moment is 0.00 Bohr magnetons per cell.

Cell: 5.285 5.285 5.217 Å, 90.00 90.00 90.00°
Element x y z (fractional)
Sb 0.000 0.500 0.000
Sb 0.500 0.000 0.000
Mo 0.000 0.000 0.000
Te 0.000 0.000 0.500
Ag 0.500 0.500 0.500

***

(7)
An optimized crystal structure of Cr2SbPb. Source: the Alexandria database, functional PBE.

The calculation puts the offset from the most stable computed form at 403.6 meV/atom. The symmetry is P4/mmm. For the uncorrected formation energy, the calculation gives 0.683 eV per atom. The value obtained for the magnetic moment is 3.31 Bohr magnetons per cell.

Cell: 4.662 4.662 3.322 Å, 90.00 90.00 90.00°
Last column: magnetic moment on the atom in μB.
Element x y z (fractional)
Cr 0.000 0.000 0.000  1.70
Cr 0.500 0.500 0.000  1.70
Pb 0.500 0.000 0.500  -0.09
Sb 0.000 0.500 0.500  -0.12

***

(8)
An optimized crystal structure of Li2ZrTa. Source: the Alexandria database, functional PBE.

The calculation puts the offset from the most stable computed form at 299.2 meV/atom. For the formation energy, the calculation gives 0.508 eV per atom. The symmetry is I4/mmm. The value obtained for the magnetic moment is 0.00 Bohr magnetons per cell.

Cell: 5.367 5.367 5.367 Å, 136.44 136.44 63.31°
Element x y z (fractional)
Li 0.000 0.000 0.000
Li 0.500 0.500 0.000
Ta 0.250 0.750 0.500
Zr 0.750 0.250 0.500